Here is HfPtW2 after structural relaxation from the Alexandria database. Energies are from PBE.

a = 6.4725 Å, b = 6.4725 Å, c = 6.4725 Å
α = 90.00°, β = 90.00°, γ = 90.00°
Closest atoms and distances in Å follow each position.
Space group Fm-3m (No. 225)
Unique sites:
Hf1 0.0000 0.0000 0.0000 (multiplicity 4)  8 W 2.80
Pt1 0.0000 0.0000 0.5000 (multiplicity 4)  8 W 2.80
W1 0.2500 0.2500 0.2500 (multiplicity 8)  4 Pt 2.80, 4 Hf 2.80

Output
relative energy among the computed polymorphs: 0.00 eV/f.u.
ΔH_f (0 K): 0.225 eV per atom


Here is Tb3AlHg2 after structural relaxation from the Alexandria database. Energies are from PBE.

a = 3.6853 Å, b = 3.6853 Å, c = 11.1912 Å
α = 90.00°, β = 90.00°, γ = 90.00°
Closest atoms and distances in Å follow each position.
Space group P4/mmm (No. 123)
Unique sites:
Tb1 0.0000 0.0000 0.0000 (multiplicity 1)  8 Hg 3.23
Tb2 0.0000 0.0000 0.3405 (multiplicity 2)  4 Al 3.16, 4 Hg 3.23
Al1 0.5000 0.5000 0.5000 (multiplicity 1)  8 Tb 3.16
Hg1 0.5000 0.5000 0.1706 (multiplicity 2)  8 Tb 3.23

Output
relative energy among the computed polymorphs: 0.00 eV/f.u.
ΔH_f (0 K): -0.444 eV per atom